(1)
Material: CsUSbO6
Method: DFT, SCAN
State: single point on PBEsol structure

ΔE_f (raw), eV/atom: -2.491
Size of the total moment, μB/f.u.: 0.00
N(E_F), states/eV/cell: 0.0

abc: 7.342 7.624 7.624
angles: 62.15 61.22 61.22
Sites, in units of the cell vectors:
O  0.321  0.444  0.306
O  0.682  0.568  0.068
O  0.932  0.818  0.318
O  0.068  0.182  0.682
O  0.930  0.444  0.306
O  0.321  0.806  0.944
O  0.318  0.432  0.932
Sb  0.000  0.500  0.000
U  0.000  0.000  0.000
U  0.000  0.500  0.500
O  0.679  0.556  0.694
Sb  0.500  0.500  0.000
Cs  0.391  0.859  0.359
O  0.070  0.556  0.694
O  0.930  0.806  0.944
O  0.070  0.194  0.056
Cs  0.609  0.141  0.641
O  0.679  0.194  0.056


(2)
Material: Ce3Ru
Method: DFT, SCAN
State: single point on PBEsol structure

Size of the total moment, μB/f.u.: 0.00
N(E_F), states/eV/cell: 31.4
ΔH_f (0 K), eV/atom: -0.2197

abc: 5.972 6.747 9.450
angles: 90.00 90.00 90.00
Sites, in units of the cell vectors:
Ru  0.921  0.359  0.250
Ru  0.421  0.141  0.750
Ce  0.124  0.344  0.947
Ce  0.124  0.344  0.553
Ce  0.624  0.156  0.447
Ce  0.879  0.959  0.750
Ce  0.876  0.656  0.447
Ru  0.079  0.641  0.750
Ce  0.376  0.844  0.947
Ru  0.579  0.859  0.250
Ce  0.121  0.041  0.250
Ce  0.624  0.156  0.053
Ce  0.876  0.656  0.053
Ce  0.376  0.844  0.553
Ce  0.379  0.541  0.250
Ce  0.621  0.459  0.750


(3)
Material: ScCr4P
Method: DFT, SCAN
State: single point on PBEsol structure

Size of the total moment, μB/f.u.: 0.00
N(E_F), states/eV/cell: 4.3
ΔH_f (0 K), eV/atom: 0.2207

abc: 4.762 4.762 4.762
angles: 60.00 60.00 60.00
Sites, in units of the cell vectors:
Cr  0.377  0.870  0.377
Cr  0.870  0.377  0.377
Sc  0.000  0.000  0.000
Cr  0.377  0.377  0.377
P  0.750  0.750  0.750
Cr  0.377  0.377  0.870


(4)
Material: Eu2ZnP3Pt7
Method: DFT, SCAN
State: single point on PBEsol structure

Size of the total moment, μB/f.u.: 13.53
N(E_F), states/eV/cell: 16.5
ΔH_f (0 K), eV/atom: -0.9735

abc: 4.023 4.023 13.673
angles: 98.46 98.46 90.00
Sites, in units of the cell vectors:
Pt  0.928  0.428  0.857
Zn  0.500  0.500  0.000
Pt  0.208  0.208  0.415
Eu  0.665  0.665  0.329
Pt  0.073  0.573  0.146
Pt  0.572  0.072  0.143
P  0.879  0.879  0.758
P  0.750  0.250  0.500
Pt  0.427  0.927  0.854
Pt  0.792  0.792  0.585
P  0.121  0.121  0.242
Pt  0.000  0.000  0.000
Eu  0.335  0.335  0.671